# PBE-GGA La2CdCl, relaxed
data_La2CdCl
_chemical_formula_sum 'La4 Cd2 Cl2'
_cell_length_a 4.557
_cell_length_b 6.326
_cell_length_c 8.422
_cell_angle_alpha 90.00
_cell_angle_beta 90.00
_cell_angle_gamma 90.00
_space_group_name_H-M_alt 'I m m m'
_space_group_IT_number 71
_space_group_name_Hall '-I 2 2'
loop_
_atom_site_label
_atom_site_fract_x
_atom_site_fract_y
_atom_site_fract_z
_atom_site_occupancy
La1 0.000 0.000 0.223 1
Cd1 0.000 0.500 0.000 1
Cl1 0.000 0.500 0.500 1
# magnetization	0.00	Bohr magnetons per cell
# total DFT energy (no corrections)	-3.849	eV per atom
# D(E_F)	7.56	states/eV per cell

# PBE-GGA KNaYGa2, relaxed
data_KNaYGa2
_chemical_formula_sum 'K1 Na1 Y1 Ga2'
_cell_length_a 5.684
_cell_length_b 5.684
_cell_length_c 5.811
_cell_angle_alpha 90.00
_cell_angle_beta 90.00
_cell_angle_gamma 90.00
_space_group_name_H-M_alt 'P 4/m m m'
_space_group_IT_number 123
_space_group_name_Hall '-P 4 2'
loop_
_atom_site_label
_atom_site_fract_x
_atom_site_fract_y
_atom_site_fract_z
_atom_site_occupancy
K1 0.000 0.000 0.000 1
Na1 0.500 0.500 0.500 1
Y1 0.000 0.000 0.500 1
Ga1 0.000 0.500 0.000 1
# magnetization	0.00	Bohr magnetons per cell
# DFT formation energy	0.9966	eV/atom
# total DFT energy (no corrections)	-1.990	eV per atom
# D(E_F)	4.31	states/eV per cell

# PBE-GGA HoThSbSe, relaxed
data_HoThSbSe
_chemical_formula_sum 'Ho1 Th1 Sb1 Se1'
_cell_length_a 4.265
_cell_length_b 4.265
_cell_length_c 6.187
_cell_angle_alpha 90.00
_cell_angle_beta 90.00
_cell_angle_gamma 90.00
_space_group_name_H-M_alt 'P 4 m m'
_space_group_IT_number 99
_space_group_name_Hall 'P 4 -2'
loop_
_atom_site_label
_atom_site_fract_x
_atom_site_fract_y
_atom_site_fract_z
_atom_site_occupancy
Ho1 0.000 0.000 0.000 1
Th1 0.500 0.500 0.502 1
Sb1 0.500 0.500 0.002 1
Se1 0.000 0.000 0.501 1
# magnetization	0.00	Bohr magnetons per cell
# total DFT energy (no corrections)	-6.184	eV per atom
# D(E_F)	2.80	states/eV per cell

# PBE-GGA Sm3Tl4InTe8, relaxed
data_Sm3Tl4InTe8
_chemical_formula_sum 'Sm9 Tl12 In3 Te24'
_cell_length_a 9.0232
_cell_length_b 9.0232
_cell_length_c 24.3541
_cell_angle_alpha 90.00
_cell_angle_beta 90.00
_cell_angle_gamma 120.00
_space_group_name_H-M_alt 'R -3 m'
_space_group_IT_number 166
_space_group_name_Hall '-R 3 2"'
loop_
_atom_site_label
_atom_site_fract_x
_atom_site_fract_y
_atom_site_fract_z
_atom_site_occupancy
Sm1 0.0000 0.5000 0.0000 1
Tl1 0.0000 0.0000 0.5000 1
Tl2 0.0000 0.5000 0.5000 1
In1 0.0000 0.0000 0.0000 1
Te1 0.0000 0.0000 0.2601 1
Te2 0.0069 0.5035 0.7383 1
# magnetization	0.00	Bohr magnetons per cell
# total DFT energy (no corrections)	-4.073	eV per atom
# D(E_F)	6.45	states/eV per cell

# PBE-GGA Rb6Bi, relaxed
data_Rb6Bi
_chemical_formula_sum 'Rb12 Bi2'
_cell_length_a 12.001
_cell_length_b 12.001
_cell_length_c 12.001
_cell_angle_alpha 90.00
_cell_angle_beta 90.00
_cell_angle_gamma 90.00
_space_group_name_H-M_alt 'I m -3 m'
_space_group_IT_number 229
_space_group_name_Hall '-I 4 2 3'
loop_
_atom_site_label
_atom_site_fract_x
_atom_site_fract_y
_atom_site_fract_z
_atom_site_occupancy
Rb1 0.000 0.250 0.500 1
Bi1 0.000 0.000 0.000 1
# magnetization	3.91	Bohr magnetons per cell
# DFT formation energy	0.5528	eV/atom
# total DFT energy (no corrections)	-0.831	eV per atom
# D(E_F)	16.22	states/eV per cell

# PBE-GGA TbTaMnSi2, relaxed
data_TbTaMnSi2
_chemical_formula_sum 'Tb2 Ta2 Mn2 Si4'
_cell_length_a 3.932
_cell_length_b 3.932
_cell_length_c 11.215
_cell_angle_alpha 90.00
_cell_angle_beta 90.00
_cell_angle_gamma 90.00
_space_group_name_H-M_alt 'I -4 m 2'
_space_group_IT_number 119
_space_group_name_Hall 'I -4 -2'
loop_
_atom_site_label
_atom_site_fract_x
_atom_site_fract_y
_atom_site_fract_z
_atom_site_occupancy
Tb1 0.000 0.000 0.000 1
Ta1 0.000 0.500 0.750 1
Mn1 0.000 0.500 0.250 1
Si1 0.000 0.000 0.393 1
# magnetization	2.50	Bohr magnetons per cell
# total DFT energy (no corrections)	-7.851	eV per atom
# D(E_F)	5.85	states/eV per cell

- Which value of magnetization does entry 4 give?
  0.00 Bohr magnetons per cell